The following is a DFT calculation (GGA-PBEsol) of a relaxed Ca5P6Pd6 crystal.

abc: 8.117 4.051 18.956
angles: 90.00 90.00 90.00
Fractional coordinates of all 34 atoms:
Ca1 0.000 0.000 0.000
Ca2 0.002 0.000 0.370
Ca3 0.008 0.500 0.182
Ca4 0.492 0.500 0.182
Ca5 0.498 0.000 0.370
Ca6 0.500 0.000 0.000
Ca7 0.502 0.000 0.630
Ca8 0.508 0.500 0.818
Ca9 0.992 0.500 0.818
Ca10 0.998 0.000 0.630
P1 0.250 0.000 0.245
P2 0.250 0.000 0.757
P3 0.250 0.000 0.874
P4 0.250 0.500 0.058
P5 0.250 0.500 0.428
P6 0.250 0.500 0.575
P7 0.750 0.000 0.126
P8 0.750 0.000 0.243
P9 0.750 0.000 0.755
P10 0.750 0.500 0.425
P11 0.750 0.500 0.572
P12 0.750 0.500 0.942
Pd1 0.000 0.500 0.500
Pd2 0.250 0.000 0.121
Pd3 0.250 0.000 0.501
Pd4 0.250 0.500 0.306
Pd5 0.250 0.500 0.698
Pd6 0.250 0.500 0.933
Pd7 0.500 0.500 0.500
Pd8 0.750 0.000 0.499
Pd9 0.750 0.000 0.879
Pd10 0.750 0.500 0.067
Pd11 0.750 0.500 0.302
Pd12 0.750 0.500 0.694

SG ... No. 51
ΔH_f (0 K) ... -1.018 eV per atom
Total magnetic moment ... 0.00 Bohr magnetons per cell
Mass density ... 5.46 g/cm³